[1]
Entry from Alexandria via LeMat-Bulk: a relaxed Nd6Tm8Th crystal (PBE).

Computed properties:
Formation enthalpy at 0 K ... 124.3 meV/atom
Space group ... No. 148
Total energy ... -0.343 Ry/atom

Unit cell a=8.694 b=8.694 c=8.694 alpha=62.60 beta=62.60 gamma=62.60
Element x y z (fractional)
Nd1 0.902 0.463 0.769
Nd2 0.231 0.098 0.537
Nd3 0.537 0.231 0.098
Nd4 0.463 0.769 0.902
Nd5 0.769 0.902 0.463
Nd6 0.098 0.537 0.231
Tm1 0.114 0.711 0.760
Tm2 0.240 0.886 0.289
Tm3 0.289 0.240 0.886
Tm4 0.577 0.577 0.577
Tm5 0.423 0.423 0.423
Tm6 0.711 0.760 0.114
Tm7 0.760 0.114 0.711
Tm8 0.886 0.289 0.240
Th1 0.000 0.000 0.000

[2]
Entry from Alexandria via LeMat-Bulk: a relaxed FeReN2 crystal (PBE).

Computed properties:
Formation energy (no corrections) ... 0.133 eV per atom
Space group ... No. 122
Distance to the lowest polymorph of the same formula ... 0 meV/atom
Total energy ... -0.680 Ry/atom

Unit cell a=4.544 b=4.544 c=5.291 alpha=64.57 beta=64.57 gamma=90.00
Element x y z (fractional)
Re1 0.000 0.000 0.000
Re2 0.750 0.250 0.500
Fe1 0.500 0.500 0.000
Fe2 0.250 0.750 0.500
N1 0.603 0.125 0.250
N2 0.147 0.625 0.250
N3 0.375 0.397 0.750
N4 0.875 0.853 0.750